Computed, not measured: an optimized crystal structure of La2TlAgBi at the PBE level of DFT.

formation energy: 38 kJ/mol of formula units
total moment: 0.000 μB/cell
Fermi-level density of states: 6.85 states/eV per cell
uncorrected energy: -3.71 eV/atom

Unit cell a=6.175 b=6.175 c=5.250 alpha=90.00 beta=90.00 gamma=90.00
Space group P4/mmm (No. 123)
One atom of each set of equivalent atoms:
La 0.000 0.500 0.000 [2 per cell]
Tl 0.000 0.000 0.500 [1 per cell]
Ag 0.500 0.500 0.500 [1 per cell]
Bi 0.500 0.500 0.000 [1 per cell]